# Pm2SeF

A geometry-optimized Pm2SeF structure (GGA-PBE, Alexandria).

Geometry as CIF:
```
data_Pm2SeF
_chemical_formula_sum 'Pm6 Se3 F3'
_space_group_name_H-M_alt 'R -3 m'
_space_group_IT_number 166
_space_group_name_Hall '-R 3 2"'
_cell_length_a 3.9520
_cell_length_b 3.9520
_cell_length_c 19.6314
_cell_angle_alpha 90.00
_cell_angle_beta 90.00
_cell_angle_gamma 120.00
loop_
_atom_site_label
_atom_site_type_symbol
_atom_site_fract_x
_atom_site_fract_y
_atom_site_fract_z
Pm1 Pm 0.0000 0.0000 0.2410
Se1 Se 0.0000 0.0000 0.0000
F1 F 0.0000 0.0000 0.5000
```

* total DFT energy (no corrections): -5.67 eV/atom
* DOS(E_F): 8.4 states/eV per cell
* uncorrected formation energy: -1.960 eV/atom



# CuHN2O

A geometry-optimized CuHN2O structure (GGA-PBE, Alexandria).

Geometry as CIF:
```
data_CuHN2O
_chemical_formula_sum 'Cu1 H1 N2 O1'
_space_group_name_H-M_alt 'P 4/m m m'
_space_group_IT_number 123
_space_group_name_Hall '-P 4 2'
_cell_length_a 2.747
_cell_length_b 2.747
_cell_length_c 6.347
_cell_angle_alpha 90.00
_cell_angle_beta 90.00
_cell_angle_gamma 90.00
loop_
_atom_site_label
_atom_site_type_symbol
_atom_site_fract_x
_atom_site_fract_y
_atom_site_fract_z
Cu1 Cu 0.000 0.000 0.000
H1 H 0.500 0.500 0.500
N1 N 0.000 0.500 0.500
O1 O 0.500 0.500 0.000
```

* total DFT energy (no corrections): -4.38 eV/atom
* DOS(E_F): 3.4 states/eV per cell



Calculated size of the total moment, 0.00, 0.00 μB/f.u. (same order as the records).